# 1
Below is a geometry-optimized MgH2Pd3 structure, with properties calculated at the PBE level.

a = 3.126 Å, b = 6.922 Å, c = 7.359 Å
α = 108.70°, β = 102.26°, γ = 90.00°
Positions (direct):
Pd (0.244, 0.312, 0.489)
Pd (0.907, 0.337, 0.814)
Pd (0.564, 0.295, 0.127)
Pd (0.093, 0.663, 0.186)
Pd (0.756, 0.688, 0.511)
Pd (0.436, 0.705, 0.873)
H (0.004, 0.791, 0.007)
H (0.693, 0.350, 0.387)
H (0.996, 0.209, 0.993)
H (0.307, 0.650, 0.613)
Mg (0.645, 0.986, 0.290)
Mg (0.355, 0.014, 0.710)

Calculated values
Relative energy among the computed polymorphs in meV per atom: 133



# 2
Below is a geometry-optimized TaTiAu4 structure, with properties calculated at the PBE level.

a = 3.018 Å, b = 3.018 Å, c = 11.667 Å
α = 90.01°, β = 90.00°, γ = 90.00°
Positions (direct):
Au (0.500, 0.500, 0.845)
Au (0.500, 0.500, 0.155)
Au (0.000, 0.000, 0.336)
Au (0.000, 0.000, 0.664)
Ta (0.500, 0.500, 0.500)
Ti (0.000, 0.000, 0.000)

Calculated values
Energy of formation from the pure elements in meV/atom: -192



The records above give, respectively, total magnetic moment values of 0.00; 0.76 μB/cell.
The records above give, respectively, N(E_F) values of 1.7; 4.2 states/eV/f.u..
The records above give, respectively, total DFT energy (no corrections) values of -4.25; -5.67 eV per atom.